Entry 1:
Material: Lu2IrRu
Method: DFT, PBE
State: optimized geometry

Lattice parameters (Å, degrees): 4.721 4.721 4.721 60.00 60.00 60.00
Positions (direct):
1 Lu 0.250 0.250 0.250
2 Lu 0.750 0.750 0.750
3 Ir 0.000 0.000 0.000
4 Ru 0.500 0.500 0.500

## Properties
Density in g/cm³: 14.36
ΔH_f (0 K) in eV/atom: -0.770
VASP energy in eV per atom: -7.565
Space-group type: Fm-3m, No. 225


Entry 2:
Material: Lu2IrRu
Method: DFT, PBE
State: optimized geometry

Lattice parameters (Å, degrees): 4.726 4.726 3.331 90.00 90.00 90.00
Positions (direct):
1 Lu 0.000 0.500 0.000
2 Lu 0.500 0.000 0.000
3 Ir 0.000 0.000 0.500
4 Ru 0.500 0.500 0.500

## Properties
Density in g/cm³: 14.35
ΔH_f (0 K) in eV/atom: -0.753
VASP energy in eV per atom: -7.547
Space-group type: P4/mmm, No. 123


Entry 3:
Material: LuScIrRu
Method: DFT, PBE
State: optimized geometry

Lattice parameters (Å, degrees): 4.636 4.636 4.636 60.00 60.00 60.00
Positions (direct):
1 Lu 0.000 0.000 0.000
2 Sc 0.500 0.500 0.500
3 Ir 0.750 0.750 0.750
4 Ru 0.250 0.250 0.250

## Properties
Density in g/cm³: 12.09
ΔH_f (0 K) in eV/atom: -0.791
VASP energy in eV per atom: -8.039
Space-group type: F-43m, No. 216


- VASP energy of number 2 (Lu2IrRu)?
  -7.547 eV per atom


- Which of these has the highest density?
  number 1